Here is TbZnSi after structural relaxation from Alexandria via LeMat-Bulk. Energies are from PBE.

Cell: 2.9945 2.9945 15.1644 Å, 90.00 90.00 90.00°
Last column: nearest neighbours and their distance in Å.
Space group I4mm (No. 107)
Unique sites:
Tb 0.0000 0.0000 0.0000 (multiplicity 2)  1 Si 2.83, 4 Tb 2.99, 4 Zn 3.15
Zn 0.0000 0.0000 0.3460 (multiplicity 2)  1 Si 2.41
Si 0.0000 0.0000 0.1868 (multiplicity 2)  1 Zn 2.41

---

Here is Tb3ZnSi2 after structural relaxation from Alexandria via LeMat-Bulk. Energies are from PBE.

Cell: 7.8636 7.8636 16.8033 Å, 90.00 90.00 120.00°
Last column: nearest neighbours and their distance in Å.
Space group R-3c (No. 167, hexagonal axes)
Unique sites:
Tb 0.0000 0.2955 0.2500 (multiplicity 18)  4 Si 2.93-2.96, 2 Zn 3.11
Zn 0.0000 0.0000 0.0000 (multiplicity 6)  2 Si 2.41
Si 0.0000 0.0000 0.1433 (multiplicity 12)  1 Zn 2.41

---

Here is Tb3ZnSi2 after structural relaxation from Alexandria via LeMat-Bulk. Energies are from PBE.

Cell: 11.4177 4.1918 11.5346 Å, 90.00 90.00 90.00°
Last column: nearest neighbours and their distance in Å.
Space group Pnma (No. 62)
Unique sites:
Tb 0.0571 0.2500 0.1216 (multiplicity 4)  1 Zn 2.94, 5 Si 2.95-3.12
Tb 0.1272 0.7500 0.5649 (multiplicity 4)  5 Si 3.02-3.08, 3 Zn 3.12-3.13
Tb 0.2014 0.2500 0.8036 (multiplicity 4)  2 Zn 2.88, 4 Si 2.94-3.14
Zn 0.1363 0.2500 0.3639 (multiplicity 4)  3 Si 2.51-2.53
Si 0.0236 0.7500 0.3195 (multiplicity 4)  2 Zn 2.51
Si 0.1871 0.7500 0.9966 (multiplicity 4)  1 Zn 2.53

---

| no. | raw total energy (eV/atom) |
| --- | --- |
| 1 | -3.388 |
| 2 | -4.784 |
| 3 | -4.967 |